Record 1
First-principles (PBE) data for a relaxed TaPdRh crystal, as listed in the Alexandria database.

Properties
Calculated volume in A^3/atom: 15.95
VASP energy in eV per cell: -25.78
Energy relative to the lowest polymorph listed for this composition in meV per atom: 50.9
Energy relative to the elements in eV/atom: -0.460

a b c (Å): 4.9601 4.9601 4.9601
angles (deg): 141.06 141.06 56.25
Closest atoms and distances in Å follow each position.
Fractional coordinates of all 3 atoms:
Ta 0.0000 0.0000 0.0000  4 Rh 2.67, 5 Pd 2.76-2.90
Pd 0.6684 0.6684 0.0000  5 Rh 2.76-2.84, 5 Ta 2.76-2.90
Rh 0.3525 0.3525 0.0000  4 Ta 2.67, 5 Pd 2.76-2.84

---

Record 2
First-principles (PBE) data for a relaxed Ta2Pd3Rh3 crystal, as listed in the Alexandria database.

Properties
Calculated volume in A^3/atom: 15.18
VASP energy in eV per cell: -65.58
Energy relative to the elements in eV/atom: -0.530

a b c (Å): 3.9352 4.0061 7.7052
angles (deg): 90.00 90.00 90.00
Closest atoms and distances in Å follow each position.
Fractional coordinates of all 8 atoms:
Ta 0.0000 0.0000 0.2444  6 Rh 2.72-2.78, 6 Pd 2.81
Ta 0.0000 0.0000 0.7556  6 Rh 2.72-2.78, 6 Pd 2.81
Pd 0.0000 0.5000 0.5000  4 Pd 2.76, 4 Rh 2.81, 4 Ta 2.81
Pd 0.5000 0.5000 0.2492  6 Rh 2.75-2.78, 2 Pd 2.76, 4 Ta 2.81
Pd 0.5000 0.5000 0.7508  6 Rh 2.75-2.78, 2 Pd 2.76, 4 Ta 2.81
Rh 0.0000 0.5000 0.0000  4 Pd 2.75, 4 Ta 2.75, 4 Rh 2.81
Rh 0.5000 0.0000 0.0000  4 Ta 2.72, 4 Pd 2.77, 4 Rh 2.81
Rh 0.5000 0.0000 0.5000  8 Pd 2.78-2.81, 4 Ta 2.78

---

Record 3
First-principles (PBE) data for a relaxed Ta3PdRh4 crystal, as listed in the Alexandria database.

Properties
Calculated volume in A^3/atom: 15.56
VASP energy in eV per cell: -147.93
Energy relative to the elements in eV/atom: -0.476

a b c (Å): 9.0265 5.7151 4.8263
angles (deg): 90.00 90.00 90.00
Closest atoms and distances in Å follow each position.
Fractional coordinates of all 16 atoms:
Ta 0.0000 0.0000 0.0000  8 Rh 2.78-2.80, 2 Pd 2.86, 2 Ta 2.90
Ta 0.2500 0.0000 0.3774  8 Rh 2.72-2.92, 4 Ta 2.86-2.90
Ta 0.2500 0.5000 0.3371  8 Rh 2.72-2.86, 2 Pd 2.78, 2 Ta 2.86
Ta 0.5000 0.0000 0.0000  8 Rh 2.78-2.80, 2 Pd 2.86, 2 Ta 2.90
Ta 0.7500 0.0000 0.6226  8 Rh 2.72-2.92, 4 Ta 2.86-2.90
Ta 0.7500 0.5000 0.6629  8 Rh 2.72-2.86, 2 Pd 2.78, 2 Ta 2.86
Pd 0.0000 0.5000 0.0000  8 Rh 2.75-2.80, 4 Ta 2.78-2.86
Pd 0.5000 0.5000 0.0000  8 Rh 2.75-2.80, 4 Ta 2.78-2.86
Rh 0.0000 0.2501 0.5000  6 Ta 2.74-2.80, 2 Pd 2.80, 4 Rh 2.83-2.86
Rh 0.0000 0.7499 0.5000  6 Ta 2.74-2.80, 2 Pd 2.80, 4 Rh 2.83-2.86
Rh 0.2500 0.2552 0.8537  6 Ta 2.72-2.92, 2 Pd 2.75, 4 Rh 2.80-2.92
Rh 0.2500 0.7448 0.8537  6 Ta 2.72-2.92, 2 Pd 2.75, 4 Rh 2.80-2.92
Rh 0.5000 0.2501 0.5000  6 Ta 2.74-2.80, 2 Pd 2.80, 4 Rh 2.83-2.86
Rh 0.5000 0.7499 0.5000  6 Ta 2.74-2.80, 2 Pd 2.80, 4 Rh 2.83-2.86
Rh 0.7500 0.2552 0.1463  6 Ta 2.72-2.92, 2 Pd 2.75, 4 Rh 2.80-2.92
Rh 0.7500 0.7448 0.1463  6 Ta 2.72-2.92, 2 Pd 2.75, 4 Rh 2.80-2.92

---

Record 4
First-principles (PBE) data for a relaxed TaPd4Rh crystal, as listed in the Alexandria database.

Properties
Calculated volume in A^3/atom: 15.46
VASP energy in eV per cell: -41.37
Energy relative to the elements in eV/atom: -0.233

a b c (Å): 4.4732 4.4732 5.3530
angles (deg): 90.00 90.00 120.00
Closest atoms and distances in Å follow each position.
Fractional coordinates of all 6 atoms:
Ta 0.0000 0.0000 0.0000  2 Rh 2.68, 12 Pd 2.91
Pd 0.3333 0.6667 0.2514  5 Pd 2.58-2.69
Pd 0.3333 0.6667 0.7486  5 Pd 2.58-2.69
Pd 0.6667 0.3333 0.2514  5 Pd 2.58-2.69
Pd 0.6667 0.3333 0.7486  5 Pd 2.58-2.69
Rh 0.0000 0.0000 0.5000  2 Ta 2.68, 12 Pd 2.91

---

Record 5
First-principles (PBE) data for a relaxed TaPd3Rh crystal, as listed in the Alexandria database.

Properties
Calculated volume in A^3/atom: 20.76
VASP energy in eV per cell: -27.26
Energy relative to the lowest polymorph listed for this composition in meV per atom: 999.2
Energy relative to the elements in eV/atom: 1.504

a b c (Å): 4.6999 4.6999 4.6999
angles (deg): 90.00 90.00 90.00
Closest atoms and distances in Å follow each position.
Fractional coordinates of all 5 atoms:
Ta 0.0000 0.0000 0.0000  12 Pd 3.32
Pd 0.0000 0.5000 0.5000  2 Rh 2.35
Pd 0.5000 0.0000 0.5000  2 Rh 2.35
Pd 0.5000 0.5000 0.0000  2 Rh 2.35
Rh 0.5000 0.5000 0.5000  6 Pd 2.35

---

Record 6
First-principles (PBE) data for a relaxed Ta2PdRh crystal, as listed in the Alexandria database.

Properties
Calculated volume in A^3/atom: 17.64
VASP energy in eV per cell: -71.62
Energy relative to the elements in eV/atom: 0.110

a b c (Å): 5.7562 5.7562 5.7562
angles (deg): 103.41 103.41 122.43
Closest atoms and distances in Å follow each position.
Fractional coordinates of all 8 atoms:
Ta 0.1114 0.6250 0.9864  2 Rh 2.55, 2 Pd 2.68, 2 Ta 2.78
Ta 0.3750 0.3614 0.4864  2 Rh 2.55, 2 Pd 2.68, 2 Ta 2.78
Ta 0.6386 0.1250 0.0136  2 Rh 2.55, 2 Pd 2.68, 2 Ta 2.78
Ta 0.8750 0.8886 0.5136  2 Rh 2.55, 2 Pd 2.68, 2 Ta 2.78
Pd 0.2500 0.7500 0.5000  4 Ta 2.68, 2 Rh 2.77
Pd 0.5000 0.5000 0.0000  4 Ta 2.68, 2 Rh 2.77
Rh 0.0000 0.0000 0.0000  4 Ta 2.55, 2 Pd 2.77
Rh 0.7500 0.2500 0.5000  4 Ta 2.55, 2 Pd 2.77

---

Record 7
First-principles (PBE) data for a relaxed Tb4PdRh crystal, as listed in the Alexandria database.

Properties
Calculated volume in A^3/atom: 25.01
VASP energy in eV per cell: -138.86
Energy relative to the lowest polymorph listed for this composition in meV per atom: 0.0
Energy relative to the elements in eV/atom: -0.608

a b c (Å): 9.4685 9.4685 9.4685
angles (deg): 60.00 60.00 60.00
Closest atoms and distances in Å follow each position.
Fractional coordinates of all 24 atoms:
Tb 0.0599 0.0599 0.4401  2 Rh 2.80
Tb 0.0599 0.4401 0.0599  2 Rh 2.80
Tb 0.0599 0.4401 0.4401  2 Rh 2.80
Tb 0.1753 0.6082 0.6082  3 Rh 2.86
Tb 0.1867 0.1867 0.8133  2 Pd 3.03
Tb 0.1867 0.8133 0.1867  2 Pd 3.03
Tb 0.1867 0.8133 0.8133  2 Pd 3.03
Tb 0.4401 0.0599 0.0599  2 Rh 2.80
Tb 0.4401 0.0599 0.4401  2 Rh 2.80
Tb 0.4401 0.4401 0.0599  2 Rh 2.80
Tb 0.6082 0.1753 0.6082  3 Rh 2.86
Tb 0.6082 0.6082 0.1753  3 Rh 2.86
Tb 0.6082 0.6082 0.6082  3 Rh 2.86
Tb 0.8133 0.1867 0.1867  2 Pd 3.03
Tb 0.8133 0.1867 0.8133  2 Pd 3.03
Tb 0.8133 0.8133 0.1867  2 Pd 3.03
Pd 0.4757 0.8414 0.8414  6 Tb 3.03-3.26
Pd 0.8414 0.4757 0.8414  6 Tb 3.03-3.26
Pd 0.8414 0.8414 0.4757  6 Tb 3.03-3.26
Pd 0.8414 0.8414 0.8414  6 Tb 3.03-3.26
Rh 0.3944 0.3944 0.3944  6 Tb 2.80-2.86
Rh 0.3944 0.3944 0.8169  6 Tb 2.80-2.86
Rh 0.3944 0.8169 0.3944  6 Tb 2.80-2.86
Rh 0.8169 0.3944 0.3944  6 Tb 2.80-2.86

---

Record 8
First-principles (PBE) data for a relaxed TbPd2Rh crystal, as listed in the Alexandria database.

Properties
Calculated volume in A^3/atom: 17.76
VASP energy in eV per cell: -24.48
Energy relative to the elements in eV/atom: -0.527

a b c (Å): 4.6487 4.6487 4.6487
angles (deg): 60.00 60.00 60.00
Closest atoms and distances in Å follow each position.
Fractional coordinates of all 4 atoms:
Tb 0.0000 0.0000 0.0000  8 Pd 2.85
Pd 0.2500 0.2500 0.2500  4 Rh 2.85, 4 Tb 2.85
Pd 0.7500 0.7500 0.7500  4 Rh 2.85, 4 Tb 2.85
Rh 0.5000 0.5000 0.5000  8 Pd 2.85

---

Record 9
First-principles (PBE) data for a relaxed Tb2Pd4Rh crystal, as listed in the Alexandria database.

Properties
Calculated volume in A^3/atom: 19.35
VASP energy in eV per cell: -42.34
Energy relative to the elements in eV/atom: -0.708

a b c (Å): 5.8189 5.8189 5.8189
angles (deg): 121.73 121.73 87.02
Closest atoms and distances in Å follow each position.
Fractional coordinates of all 7 atoms:
Tb 0.0000 0.5000 0.5000  2 Rh 2.83, 8 Pd 2.91
Tb 0.5000 0.0000 0.5000  2 Rh 2.83, 8 Pd 2.91
Pd 0.0000 0.0000 0.5000  4 Pd 2.83, 4 Tb 2.91, 2 Rh 2.91
Pd 0.0000 0.5000 0.0000  4 Pd 2.83, 4 Tb 2.91, 2 Rh 2.91
Pd 0.5000 0.0000 0.0000  4 Pd 2.83, 4 Tb 2.91, 2 Rh 2.91
Pd 0.5000 0.5000 0.5000  4 Pd 2.83, 4 Tb 2.91, 2 Rh 2.91
Rh 0.0000 0.0000 0.0000  4 Tb 2.83, 8 Pd 2.91

---

Record 10
First-principles (PBE) data for a relaxed Tb4Pd3Rh crystal, as listed in the Alexandria database.

Properties
Calculated volume in A^3/atom: 22.33
VASP energy in eV per cell: -48.56
Energy relative to the elements in eV/atom: -0.889

a b c (Å): 3.7431 4.5146 10.5700
angles (deg): 90.00 90.00 90.00
Closest atoms and distances in Å follow each position.
Fractional coordinates of all 8 atoms:
Tb 0.0000 0.0000 0.0000  5 Pd 2.97-2.98, 2 Rh 3.00
Tb 0.0000 0.5000 0.2683  3 Pd 2.95-3.02, 4 Rh 2.97
Tb 0.5000 0.0000 0.4863  1 Rh 2.80, 6 Pd 3.00-3.08
Tb 0.5000 0.5000 0.7687  7 Pd 2.91-3.00
Pd 0.0000 0.0000 0.7177  2 Pd 2.89, 7 Tb 2.98-3.08
Pd 0.0000 0.5000 0.5473  2 Pd 2.89, 7 Tb 2.95-3.00
Pd 0.5000 0.5000 0.0440  7 Tb 2.91-3.02, 2 Rh 2.94
Rh 0.5000 0.0000 0.2218  7 Tb 2.80-3.00, 2 Pd 2.94